1.
A geometry-optimized TiGa5 structure. Source: the Alexandria database, functional GGA-PBE.

Geometry as POSCAR:
```
TiGa5
1.0
2.413 -6.850 0.000
2.413 6.850 0.000
0.000 0.000 3.144
Ti Ga
1 5
direct
0.000 0.000 0.000
0.169 0.831 0.500
0.338 0.662 0.000
0.500 0.500 0.500
0.662 0.338 0.000
0.831 0.169 0.500
```

## Properties
Energy of formation from the pure elements (eV per atom): -0.082
SG: Cmmm (65)

=====

2.
A geometry-optimized ThMgN2 structure. Source: the Alexandria database, functional GGA-PBE.

Geometry as POSCAR:
```
ThMgN2
1.0
4.338 0.000 0.000
0.000 7.966 0.000
0.000 0.000 3.703
Th Mg N
2 2 4
direct
0.000 0.148 0.000
0.500 0.852 0.500
0.000 0.550 0.002
0.500 0.450 0.502
0.000 0.387 0.501
0.000 0.955 0.500
0.500 0.045 0.000
0.500 0.613 0.001
```

## Properties
SG: Pmn2_1 (31)
Raw total energy (eV/cell): -61.16